{
  "formula": "HfPWS2",
  "functional": "GGA-PBEsol",
  "state": "optimized geometry",
  "total_magnetization_mub_per_fu": 3.13,
  "e_form_raw_kcal_per_mol_atoms": 18.717,
  "dft_energy_ev_per_atom": -6.962,
  "cell": [[-0.5722, 3.3938, 3.2430], [-3.3440, 1.9981, -2.6810], [-3.4743, -2.7607, 2.2761]],
  "species": ["P", "S", "S", "Hf", "W"],
  "fractional_positions": [[0.0000, 0.0000, 0.5000], [0.0000, 0.5000, 0.0000], [0.5000, 0.0000, 0.0000], [0.0000, 0.0000, 0.0000], [0.5000, 0.5000, 0.5000]]
}

{
  "formula": "CaBeAl2Tc",
  "functional": "GGA-PBEsol",
  "state": "optimized geometry",
  "total_magnetization_mub_per_fu": 1.94,
  "dft_energy_ev_per_atom": -4.292,
  "cell": [[-2.0210, -2.7752, 2.5759], [3.2491, 0.2282, 2.7951], [-2.1842, 3.6691, 2.2394]],
  "species": ["Be", "Ca", "Tc", "Al", "Al"],
  "fractional_positions": [[0.0000, 0.0000, 0.0000], [0.0000, 0.0000, 0.5000], [0.5000, 0.5000, 0.5000], [0.0000, 0.5000, 0.0000], [0.5000, 0.0000, 0.0000]]
}

{
  "formula": "MgScAl",
  "functional": "GGA-PBEsol",
  "state": "optimized geometry",
  "total_magnetization_mub_per_fu": 0.00,
  "dft_energy_ev_per_atom": -4.356,
  "cell": [[-2.9305, 1.1214, 0.3527], [-0.3010, -2.1047, 4.1912], [1.6432, 4.3920, -0.3114]],
  "species": ["Sc", "Mg", "Al"],
  "fractional_positions": [[0.3335, 0.6667, 0.3333], [0.8341, 0.3333, 0.6667], [0.8324, 0.0000, 0.0000]]
}

{
  "formula": "Sr5Pb",
  "functional": "GGA-PBEsol",
  "state": "optimized geometry",
  "total_magnetization_mub_per_fu": 0.00,
  "dft_energy_ev_per_atom": -2.393,
  "cell": [[4.1203, 0.0000, 0.0000], [0.0000, 4.1203, 0.0000], [0.0000, 0.0000, 16.1188]],
  "species": ["Pb", "Sr", "Sr", "Sr", "Sr", "Sr"],
  "fractional_positions": [[0.5000, 0.5000, 0.0000], [0.0000, 0.0000, 0.8804], [0.0000, 0.0000, 0.1196], [0.5000, 0.5000, 0.6860], [0.5000, 0.5000, 0.3140], [0.0000, 0.0000, 0.5000]]
}

{
  "formula": "Ta2AuCF",
  "functional": "GGA-PBEsol",
  "state": "optimized geometry",
  "total_magnetization_mub_per_fu": 0.00,
  "e_form_raw_kcal_per_mol_atoms": 23.343,
  "dft_energy_ev_per_atom": -7.107,
  "cell": [[-3.8162, -0.6842, 1.4309], [1.1067, -3.8194, 1.1251], [1.1474, 1.4362, 3.7468]],
  "species": ["C", "F", "Au", "Ta", "Ta"],
  "fractional_positions": [[0.0000, 0.0000, 0.5000], [0.0000, 0.0000, 0.0000], [0.5000, 0.5000, 0.5000], [0.0000, 0.5000, 0.0000], [0.5000, 0.0000, 0.0000]]
}

{
  "formula": "CsYRe2Ir",
  "functional": "GGA-PBEsol",
  "state": "optimized geometry",
  "total_magnetization_mub_per_fu": 0.00,
  "dft_energy_ev_per_atom": -5.870,
  "cell": [[4.8656, 0.0000, 0.0000], [0.0000, 4.8656, 0.0000], [0.0000, 0.0000, 4.9251]],
  "species": ["Cs", "Re", "Re", "Ir", "Y"],
  "fractional_positions": [[0.0000, 0.0000, 0.0000], [0.0000, 0.5000, 0.0000], [0.5000, 0.0000, 0.0000], [0.0000, 0.0000, 0.5000], [0.5000, 0.5000, 0.5000]]
}

{
  "formula": "BeCdAu2",
  "functional": "GGA-PBEsol",
  "state": "optimized geometry",
  "total_magnetization_mub_per_fu": 0.00,
  "dft_energy_ev_per_atom": -3.461,
  "cell": [[-0.2907, 1.2284, -2.6810], [-2.6729, -1.2478, -0.2819], [-2.9238, 5.6106, 2.8878]],
  "species": ["Be", "Au", "Au", "Cd"],
  "fractional_positions": [[0.5000, 0.5000, 0.0000], [0.0000, 0.0000, 0.7994], [0.0000, 0.0000, 0.2006], [0.5000, 0.5000, 0.5000]]
}

{
  "formula": "YCdRh2",
  "functional": "GGA-PBEsol",
  "state": "optimized geometry",
  "total_magnetization_mub_per_fu": 0.00,
  "dft_energy_ev_per_atom": -6.631,
  "cell": [[-2.6926, 2.1700, 1.0347], [-2.4878, -3.4791, 0.8225], [1.4918, -0.0996, 4.0908]],
  "species": ["Y", "Rh", "Rh", "Cd"],
  "fractional_positions": [[0.5000, 0.0000, 0.0000], [0.0000, 0.0000, 0.5000], [0.0000, 0.5000, 0.0000], [0.5000, 0.5000, 0.5000]]
}

{
  "formula": "TiMoS2",
  "functional": "GGA-PBEsol",
  "state": "optimized geometry",
  "total_magnetization_mub_per_fu": 0.49,
  "e_form_raw_kcal_per_mol_atoms": -12.009,
  "dft_energy_ev_per_atom": -7.735,
  "cell": [[4.6173, 0.0000, 0.0000], [0.0000, 4.6173, 0.0000], [-2.3087, -2.3087, 6.6243]],
  "species": ["Mo", "Mo", "S", "S", "S", "S", "Ti", "Ti"],
  "fractional_positions": [[0.2500, 0.7500, 0.5000], [0.0000, 0.0000, 0.0000], [0.8838, 0.3750, 0.2500], [0.3662, 0.8750, 0.2500], [0.6250, 0.6338, 0.7500], [0.1250, 0.1162, 0.7500], [0.7500, 0.2500, 0.5000], [0.5000, 0.5000, 0.0000]]
}

{
  "formula": "KZnAg2",
  "functional": "GGA-PBEsol",
  "state": "optimized geometry",
  "total_magnetization_mub_per_fu": 0.00,
  "dft_energy_ev_per_atom": -1.980,
  "cell": [[-1.6938, -2.1226, 1.1053], [0.5077, -2.7084, -4.4233], [4.3059, -2.4102, 1.9700]],
  "species": ["Ag", "Ag", "K", "Zn"],
  "fractional_positions": [[0.0000, 0.0000, 0.0000], [0.5000, 0.0000, 0.5000], [0.5000, 0.5000, 0.0000], [0.0000, 0.5000, 0.5000]]
}

{
  "formula": "KLaF4",
  "functional": "GGA-PBEsol",
  "state": "optimized geometry",
  "total_magnetization_mub_per_fu": 0.00,
  "e_form_raw_kcal_per_mol_atoms": -86.493,
  "dft_energy_ev_per_atom": -6.116,
  "cell": [[-0.3287, -3.8793, -1.0941], [3.4694, 0.2865, -2.0580], [3.1221, -1.6830, 5.0291]],
  "species": ["K", "La", "F", "F", "F", "F"],
  "fractional_positions": [[0.0000, 0.0000, 0.0000], [0.5000, 0.5000, 0.5000], [0.5000, 0.0000, 0.7155], [0.0000, 0.5000, 0.2845], [0.5000, 0.0000, 0.2845], [0.0000, 0.5000, 0.7155]]
}

{
  "formula": "Ac3Dy",
  "functional": "GGA-PBEsol",
  "state": "optimized geometry",
  "total_magnetization_mub_per_fu": 0.00,
  "dft_energy_ev_per_atom": -4.569,
  "cell": [[-5.2192, -2.8465, -1.4963], [3.7346, -6.6830, -0.3127], [-3.1541, 2.3215, 6.5856]],
  "species": ["Ac", "Ac", "Ac", "Ac", "Ac", "Ac", "Dy", "Dy"],
  "fractional_positions": [[0.2500, 0.6613, 0.8306], [0.2500, 0.1694, 0.8306], [0.2500, 0.1694, 0.3387], [0.7500, 0.3387, 0.1694], [0.7500, 0.8306, 0.1694], [0.7500, 0.8306, 0.6613], [0.7500, 0.3333, 0.6667], [0.2500, 0.6667, 0.3333]]
}

Repeat the tenth record exactly.
{
  "formula": "KZnAg2",
  "functional": "GGA-PBEsol",
  "state": "optimized geometry",
  "total_magnetization_mub_per_fu": 0.00,
  "dft_energy_ev_per_atom": -1.980,
  "cell": [[-1.6938, -2.1226, 1.1053], [0.5077, -2.7084, -4.4233], [4.3059, -2.4102, 1.9700]],
  "species": ["Ag", "Ag", "K", "Zn"],
  "fractional_positions": [[0.0000, 0.0000, 0.0000], [0.5000, 0.0000, 0.5000], [0.5000, 0.5000, 0.0000], [0.0000, 0.5000, 0.5000]]
}

Repeat the tenth record exactly.
{
  "formula": "KZnAg2",
  "functional": "GGA-PBEsol",
  "state": "optimized geometry",
  "total_magnetization_mub_per_fu": 0.00,
  "dft_energy_ev_per_atom": -1.980,
  "cell": [[-1.6938, -2.1226, 1.1053], [0.5077, -2.7084, -4.4233], [4.3059, -2.4102, 1.9700]],
  "species": ["Ag", "Ag", "K", "Zn"],
  "fractional_positions": [[0.0000, 0.0000, 0.0000], [0.5000, 0.0000, 0.5000], [0.5000, 0.5000, 0.0000], [0.0000, 0.5000, 0.5000]]
}